Arrangement one

First-principles (PBE) data for a geometry-optimized Y2Tl2Pt structure, as listed in the Alexandria database.

Density in kg/m3: 10368
M_tot in μB/atom: 0.000

abc: 7.428 7.428 4.538
angles: 90.00 90.00 90.00
Element x y z (fractional)
Y1 0.169 0.669 0.500
Y2 0.669 0.831 0.500
Y3 0.831 0.331 0.500
Y4 0.331 0.169 0.500
Tl1 0.359 0.859 0.000
Tl2 0.859 0.641 0.000
Tl3 0.641 0.141 0.000
Tl4 0.141 0.359 0.000
Pt1 0.000 0.000 0.000
Pt2 0.500 0.500 0.000

=====

Arrangement two

First-principles (PBE) data for a geometry-optimized Y2Tl2Pt structure, as listed in the Alexandria database.

Density in kg/m3: 9393
M_tot in μB/atom: 0.000

abc: 3.994 3.994 9.113
angles: 77.34 77.34 90.00
Element x y z (fractional)
Y1 0.410 0.410 0.180
Y2 0.590 0.590 0.820
Tl1 0.750 0.250 0.500
Tl2 0.250 0.750 0.500
Pt1 0.000 0.000 0.000

=====

Arrangement three

First-principles (PBE) data for a geometry-optimized Y2Tl2Pt structure, as listed in the Alexandria database.

Density in kg/m3: 9218
M_tot in μB/atom: 0.000

abc: 7.412 7.412 5.127
angles: 90.00 90.00 90.00
Element x y z (fractional)
Y1 0.335 0.835 0.000
Y2 0.835 0.665 0.000
Y3 0.665 0.165 0.000
Y4 0.165 0.335 0.000
Tl1 0.153 0.653 0.500
Tl2 0.653 0.847 0.500
Tl3 0.847 0.347 0.500
Tl4 0.347 0.153 0.500
Pt1 0.000 0.000 0.000
Pt2 0.500 0.500 0.000

=====

Arrangement four

First-principles (PBE) data for a geometry-optimized Y2Tl2Pt structure, as listed in the Alexandria database.

Density in kg/m3: 9522
M_tot in μB/atom: 0.000

abc: 4.376 4.376 7.762
angles: 73.63 73.63 90.00
Element x y z (fractional)
Y1 0.750 0.250 0.500
Y2 0.250 0.750 0.500
Tl1 0.406 0.406 0.188
Tl2 0.594 0.594 0.812
Pt1 0.000 0.000 0.000

=====

Which of them is the most stable, and which is the least stable? arrangement one and arrangement four, in that order.

=====

Arrangement one

First-principles (PBE) data for a geometry-optimized Y8Tl2Pt structure, as listed in the Alexandria database.

Density in kg/m3: 6776
M_tot in μB/atom: 0.001

abc: 5.888 9.187 9.187
angles: 122.31 108.02 108.02
Element x y z (fractional)
Y1 0.710 0.412 0.171
Y2 0.710 0.171 0.412
Y3 0.996 0.151 0.151
Y4 0.999 0.210 0.820
Y5 0.999 0.820 0.210
Y6 0.692 0.656 0.656
Y7 0.320 0.903 0.671
Y8 0.320 0.671 0.903
Tl1 0.474 0.709 0.314
Tl2 0.474 0.314 0.709
Pt1 0.304 0.016 0.016

=====

Arrangement two

First-principles (PBE) data for a geometry-optimized Y8Tl2Pt structure, as listed in the Alexandria database.

Density in kg/m3: 6859
M_tot in μB/atom: 0.000

abc: 5.074 6.751 9.892
angles: 103.12 104.86 90.00
Element x y z (fractional)
Y1 0.411 0.545 0.822
Y2 0.648 0.991 0.296
Y3 0.788 0.677 0.577
Y4 0.980 0.220 0.960
Y5 0.212 0.323 0.423
Y6 0.352 0.009 0.704
Y7 0.589 0.455 0.178
Y8 0.020 0.780 0.040
Tl1 0.816 0.243 0.633
Tl2 0.184 0.757 0.367
Pt1 0.500 0.000 0.000

=====

Which of them is the most stable, and which is the least stable? arrangement two and arrangement one, in that order.